# 1
This record from Alexandria describes SbPC3 after structural relaxation. The functional is PBE-GGA.

Summary:
The calculation puts the distance to the lowest polymorph of the same formula at 1134 meV/atom. As for the raw formation energy: 3.12 eV per atom.

abc: 4.237 4.237 4.237
angles: 90.00 90.00 90.00
Positions (direct):
Sb  0.000  0.000  0.000
P  0.500  0.500  0.500
C  0.000  0.000  0.500
C  0.000  0.500  0.000
C  0.500  0.000  0.000

***

# 2
This record from Alexandria describes ZrTc3Ir after structural relaxation. The functional is PBE-GGA.

Summary:
The calculation puts the distance to the lowest polymorph of the same formula at 0 meV/atom.

abc: 4.681 4.681 4.681
angles: 90.00 90.00 90.00
Positions (direct):
Tc  0.000  0.500  0.000
Tc  0.500  0.000  0.000
Tc  0.000  0.000  0.500
Zr  0.500  0.500  0.500
Ir  0.000  0.000  0.000

***

# 3
This record from Alexandria describes Cu2ReAu after structural relaxation. The functional is PBE-GGA.

Summary:
The calculation puts the distance to the lowest polymorph of the same formula at 0 meV/atom.

abc: 2.697 2.697 7.864
angles: 90.00 90.00 89.94
Positions (direct):
Cu  0.000  0.000  0.490
Cu  0.000  0.000  0.010
Re  0.500  0.500  0.250
Au  0.500  0.500  0.750